Density functional theory data (PBE) for a geometry-optimized Cs2DyCl5 structure.

Its calculated total energy is -132.648 eV/cell. The value obtained for the volume is 1101.8 Å³ per cell.

```
data_Cs2DyCl5
_chemical_formula_sum 'Cs8 Dy4 Cl20'
_space_group_name_H-M_alt 'P n m a'
_space_group_IT_number 62
_cell_length_a 9.597
_cell_length_b 7.506
_cell_length_c 15.295
_cell_angle_alpha 90.00
_cell_angle_beta 90.00
_cell_angle_gamma 90.00
loop_
_space_group_symop_operation_xyz
'x,y,z'
'-x,-y,-z'
'-x+1/2,-y,z+1/2'
'x+1/2,y,-z+1/2'
'x+1/2,-y+1/2,-z+1/2'
'-x+1/2,y+1/2,z+1/2'
'-x,y+1/2,-z'
'x,-y+1/2,z'
loop_
_atom_site_label
_atom_site_type_symbol
_atom_site_fract_x
_atom_site_fract_y
_atom_site_fract_z
Cs1 Cs 0.025 0.250 0.212
Cs2 Cs 0.166 0.750 0.416
Dy1 Dy 0.180 0.750 0.066
Cl1 Cl 0.000 0.000 0.000
Cl2 Cl 0.016 0.750 0.202
Cl3 Cl 0.164 0.506 0.620
Cl4 Cl 0.210 0.250 0.408
```